No. 1
This record from the Alexandria database describes an optimized crystal structure of MnPtN3. The functional is PBE.

The structure in POSCAR format:
```
MnPtN3
1.0
3.8487 0.0000 0.0000
0.0000 3.8487 0.0000
0.0000 0.0000 3.8487
Mn Pt N
1 1 3
direct
0.5000 0.5000 0.5000
0.0000 0.0000 0.0000
0.0000 0.5000 0.0000
0.0000 0.0000 0.5000
0.5000 0.0000 0.0000
```

Formation energy without anion corrections ... 2.230 eV per atom
Final energy ... -5.81 eV per atom
Symmetry ... Pm-3m, No. 221



No. 2
This record from the Alexandria database describes an optimized crystal structure of Mn4PtN. The functional is PBE.

The structure in POSCAR format:
```
Mn4PtN
1.0
-0.8182 2.7055 -0.2525
-6.7610 -1.5284 5.5299
5.8249 1.9887 2.4336
Mn Pt N
8 2 2
direct
0.5000 0.6554 0.5660
0.5000 0.8446 0.9340
0.0000 0.0547 0.3388
0.0000 0.4453 0.1612
0.0000 0.9453 0.6612
0.0000 0.5547 0.8388
0.5000 0.1554 0.0660
0.5000 0.3446 0.4340
0.5000 0.2500 0.7500
0.5000 0.7500 0.2500
0.0000 0.5000 0.5000
0.0000 0.0000 0.0000
```

Formation energy without anion corrections ... -0.118 eV per atom
Final energy ... -8.63 eV per atom
Symmetry ... P2/m, No. 10



No. 3
This record from the Alexandria database describes an optimized crystal structure of Mn2RePtN. The functional is PBE.

The structure in POSCAR format:
```
Mn2RePtN
1.0
-0.6177 0.2771 -3.9354
-0.2548 -3.9778 -0.2401
-3.9044 0.2122 0.6278
Re Mn Pt N
1 2 1 1
direct
0.0000 0.0000 0.5000
0.0000 0.5000 0.0000
0.5000 0.0000 0.0000
0.5000 0.5000 0.5000
0.0000 0.0000 0.0000
```

Formation energy without anion corrections ... -0.149 eV per atom
Final energy ... -9.18 eV per atom
Symmetry ... P4/mmm, No. 123
Offset from the most stable computed form ... 0.000 eV per atom



No. 4
This record from the Alexandria database describes an optimized crystal structure of Mn2RePtN. The functional is PBE.

The structure in POSCAR format:
```
Mn2RePtN
1.0
4.5904 0.0000 0.0000
0.0000 4.8077 0.0000
0.0000 0.0000 4.5904
Re Mn Pt N
1 2 1 1
direct
0.0000 0.0000 0.0000
0.0000 0.0000 0.5000
0.5000 0.0000 0.0000
0.0000 0.5000 0.0000
0.5000 0.5000 0.5000
```

Formation energy without anion corrections ... 2.324 eV per atom
Final energy ... -6.71 eV per atom
Symmetry ... P4/mmm, No. 123
Offset from the most stable computed form ... 2.473 eV per atom



No. 5
This record from the Alexandria database describes an optimized crystal structure of MnPtRh2N. The functional is PBE.

The structure in POSCAR format:
```
MnPtRh2N
1.0
-2.8477 1.0541 3.7451
1.2074 -4.1725 2.0926
3.7798 2.2216 2.2488
Mn Rh Pt N
1 2 1 1
direct
0.0000 0.0000 0.5000
0.0000 0.5000 0.0000
0.5000 0.0000 0.0000
0.0000 0.0000 0.0000
0.5000 0.5000 0.5000
```

Formation energy without anion corrections ... 2.183 eV per atom
Final energy ... -5.46 eV per atom
Symmetry ... P4/mmm, No. 123
Offset from the most stable computed form ... 2.181 eV per atom



No. 6
This record from the Alexandria database describes an optimized crystal structure of MnPtRh2N. The functional is PBE.

The structure in POSCAR format:
```
MnPtRh2N
1.0
4.0727 0.0000 0.0000
0.0000 4.0727 0.0000
0.0000 0.0000 3.9552
Mn Rh Pt N
1 2 1 1
direct
0.0000 0.0000 0.5000
0.0000 0.5000 0.0000
0.5000 0.0000 0.0000
0.5000 0.5000 0.5000
0.0000 0.0000 0.0000
```

Formation energy without anion corrections ... 0.002 eV per atom
Final energy ... -7.65 eV per atom
Symmetry ... P4/mmm, No. 123
Offset from the most stable computed form ... 0.000 eV per atom